# 1
First-principles (PBE) data for a geometry-optimized HgPPbO2 structure, as listed in Alexandria via LeMat-Bulk.

Lattice parameters (Å, degrees): 4.1592 4.1592 5.7787 90.00 90.00 90.00
Closest atoms and distances in Å follow each position.
Positions (direct):
O (0.0000, 0.5000, 0.0000)  2 Pb 2.08
P (0.0000, 0.0000, 0.5000)  2 Pb 2.89, 4 Hg 2.94
Pb (0.0000, 0.0000, 0.0000)  4 O 2.08
O (0.5000, 0.0000, 0.0000)  2 Pb 2.08
Hg (0.5000, 0.5000, 0.5000)  4 P 2.94

Summary:
Space group: P4/mmm
Crystal system: tetragonal

# 2
First-principles (PBE) data for a geometry-optimized HgPPbO2 structure, as listed in Alexandria via LeMat-Bulk.

Lattice parameters (Å, degrees): 4.2726 4.2726 5.0724 90.00 90.00 90.00
Closest atoms and distances in Å follow each position.
Positions (direct):
O (0.5000, 0.0000, 0.0000)  2 Hg 2.14
P (0.0000, 0.0000, 0.5000)  2 Hg 2.54
Hg (0.0000, 0.0000, 0.0000)  4 O 2.14
Pb (0.5000, 0.5000, 0.5000)  4 P 3.02, 8 O 3.32
O (0.0000, 0.5000, 0.0000)  2 Hg 2.14

Summary:
Space group: P4/mmm
Crystal system: tetragonal

# 3
First-principles (PBE) data for a geometry-optimized HgP2PbO6 structure, as listed in Alexandria via LeMat-Bulk.

Lattice parameters (Å, degrees): 6.3065 6.3065 7.5570 65.34 65.34 60.00
Closest atoms and distances in Å follow each position.
Positions (direct):
O (0.9638, 0.4171, 0.3093)  1 P 1.49
P (0.2295, 0.2295, 0.3114)  3 O 1.49
Pb (0.5000, 0.5000, 0.5000)  6 O 2.55
O (0.4171, 0.3098, 0.3093)  1 P 1.49
Hg (0.0000, 0.0000, 0.0000)  6 O 3.50
O (0.5829, 0.6902, 0.6907)  1 P 1.49
P (0.7705, 0.7705, 0.6886)  3 O 1.49
O (0.3098, 0.9638, 0.3093)  1 P 1.49
O (0.0362, 0.5829, 0.6907)  1 P 1.49
O (0.6902, 0.0362, 0.6907)  1 P 1.49

Summary:
Space group: R-3
Crystal system: trigonal

# 4
First-principles (PBE) data for a geometry-optimized HgP2PbO structure, as listed in Alexandria via LeMat-Bulk.

Lattice parameters (Å, degrees): 5.2784 5.2784 4.5171 90.00 90.00 90.00
Closest atoms and distances in Å follow each position.
Positions (direct):
P (0.5000, 0.0000, 0.0000)  2 Hg 2.64
P (0.0000, 0.5000, 0.0000)  2 Hg 2.64
O (0.0000, 0.0000, 0.5000)  2 Hg 2.26
Pb (0.5000, 0.5000, 0.5000)  8 P 3.47, 4 O 3.73
Hg (0.0000, 0.0000, 0.0000)  2 O 2.26

Summary:
Space group: P4/mmm
Crystal system: tetragonal

# 5
First-principles (PBE) data for a geometry-optimized HgP2PbO structure, as listed in Alexandria via LeMat-Bulk.

Lattice parameters (Å, degrees): 5.4318 5.4318 4.1389 90.00 90.00 90.00
Closest atoms and distances in Å follow each position.
Positions (direct):
Hg (0.5000, 0.5000, 0.5000)  8 P 3.41
O (0.0000, 0.0000, 0.5000)  2 Pb 2.07
Pb (0.0000, 0.0000, 0.0000)  2 O 2.07
P (0.0000, 0.5000, 0.0000)  2 Pb 2.72
P (0.5000, 0.0000, 0.0000)  2 Pb 2.72

Summary:
Space group: P4/mmm
Crystal system: tetragonal

# 6
First-principles (PBE) data for a geometry-optimized HgP2PdO structure, as listed in Alexandria via LeMat-Bulk.

Lattice parameters (Å, degrees): 4.8635 4.8635 3.8527 90.00 90.00 90.00
Closest atoms and distances in Å follow each position.
Positions (direct):
O (0.0000, 0.0000, 0.5000)  2 Pd 1.93
Pd (0.0000, 0.0000, 0.0000)  2 O 1.93
P (0.5000, 0.0000, 0.0000)  2 Pd 2.43
P (0.0000, 0.5000, 0.0000)  2 Pd 2.43
Hg (0.5000, 0.5000, 0.5000)  8 P 3.10, 4 O 3.44

Summary:
Space group: P4/mmm
Crystal system: tetragonal

| no. | uncorrected formation energy (eV per formula unit) | E (Ha/atom) |
| --- | --- | --- |
| 1 | 0.930 | -0.1353 |
| 2 | 1.907 | -0.1281 |
| 3 | -15.370 | -0.2203 |
| 4 | 4.073 | -0.1155 |
| 5 | 4.022 | -0.1159 |
| 6 | 2.638 | -0.1370 |